1.
Below is Pm2SnHg2 after structural relaxation, with properties calculated at the PBE level.

POSCAR file:
```
Pm2SnHg2
1.0
6.7953 2.0208 4.1732
4.1433 5.7526 4.1732
1.5606 1.1090 6.0170
Hg Pm Sn
2 2 1
Direct
0.6027 0.6027 0.4784
0.3973 0.3973 0.5216
0.3042 0.3042 0.1767
0.6958 0.6958 0.8233
0.0000 0.0000 0.0000
```

Properties
E (eV per atom): -3.266
Volume (Å³ per cell): 148.3
Space group: No. 12
Formation enthalpy at 0 K (eV/f.u.): -2.2
Offset from the most stable computed form (meV per atom): 59.8
Crystal system: monoclinic


2.
Below is Pm4Sn3Hg after structural relaxation, with properties calculated at the PBE level.

POSCAR file:
```
Pm4Sn3Hg
1.0
4.5669 0.0000 0.0000
0.0000 4.4298 0.0000
0.0000 0.0000 11.7260
Pm Sn Hg
4 3 1
Direct
0.0000 0.0000 0.1359
0.5000 0.5000 0.3619
0.5000 0.0000 0.6364
0.0000 0.5000 0.8626
0.0000 0.0000 0.4104
0.5000 0.0000 0.9148
0.0000 0.5000 0.5899
0.5000 0.5000 0.0881
```

Properties
E (eV per atom): -4.605
Volume (Å³ per cell): 237.2
Space group: No. 25
Formation enthalpy at 0 K (eV/f.u.): -5.5
Crystal system: orthorhombic


3.
Below is Pm4Sn2Hg after structural relaxation, with properties calculated at the PBE level.

POSCAR file:
```
Pm4Sn2Hg
1.0
-2.2183 4.3283 3.2731
-4.1225 -3.6436 2.0242
7.1145 -2.0588 2.2942
Hg Pm Sn
1 4 2
Direct
0.0000 0.0000 0.0000
0.5000 0.0000 0.0000
0.0000 0.5000 0.0000
0.2500 0.7500 0.5000
0.7500 0.2500 0.5000
0.3711 0.3711 0.7422
0.6289 0.6289 0.2578
```

Properties
E (eV per atom): -4.197
Volume (Å³ per cell): 225.2
Space group: No. 139
Formation enthalpy at 0 K (eV/f.u.): -2.1
Crystal system: tetragonal


Please write out number 2 again, unchanged.
Below is Pm4Sn3Hg after structural relaxation, with properties calculated at the PBE level.

POSCAR file:
```
Pm4Sn3Hg
1.0
4.5669 0.0000 0.0000
0.0000 4.4298 0.0000
0.0000 0.0000 11.7260
Pm Sn Hg
4 3 1
Direct
0.0000 0.0000 0.1359
0.5000 0.5000 0.3619
0.5000 0.0000 0.6364
0.0000 0.5000 0.8626
0.0000 0.0000 0.4104
0.5000 0.0000 0.9148
0.0000 0.5000 0.5899
0.5000 0.5000 0.0881
```

Properties
E (eV per atom): -4.605
Volume (Å³ per cell): 237.2
Space group: No. 25
Formation enthalpy at 0 K (eV/f.u.): -5.5
Crystal system: orthorhombic


Look up the volume of the third one.
225.2 Å³ per cell